1.
## CeB2Mo (PBE)

Data for an optimized crystal structure of CeB2Mo.

extended XYZ file:
```
16
Lattice="5.9756 0.0000 0.0000 0.0000 5.4558 0.0000 0.0000 0.0000 6.6492" Properties=species:S:1:pos:R:3 pbc="T T T"
Ce 0.0330 1.3640 1.0513
Ce 2.9548 4.0919 4.3759
Ce 3.0209 1.3640 2.2733
Ce 5.9426 4.0919 5.5979
B 0.7411 3.1784 3.1052
B 0.7411 5.0053 3.1052
B 2.2467 0.4505 6.4298
B 2.2467 2.2774 6.4298
B 3.7289 3.1784 0.2194
B 3.7289 5.0053 0.2194
B 5.2345 0.4505 3.5440
B 5.2345 2.2774 3.5440
Mo 1.1284 1.3640 4.5610
Mo 1.8594 4.0919 1.2364
Mo 4.1162 1.3640 5.4128
Mo 4.8472 4.0919 2.0882
```

As for the energy relative to the elements: -0.393 eV/atom. For the energy above the lowest structure with this stoichiometry, the calculation gives 0.00 eV/f.u. The space group is Pnma, No. 62. Its density of states at the Fermi level is 11.49 states/eV/cell.

***

2.
## CsSr2Tl2 (PBE)

Data for an optimized crystal structure of CsSr2Tl2.

extended XYZ file:
```
5
Lattice="-3.1070 3.1070 5.9644 3.1070 -3.1070 5.9644 3.1070 3.1070 -5.9644" Properties=species:S:1:pos:R:3 pbc="T T T"
Cs 0.0000 0.0000 0.0000
Sr 3.1070 0.0000 2.9822
Sr 0.0000 3.1070 2.9822
Tl 0.0000 0.0000 4.5233
Tl 0.0000 0.0000 7.4056
```

As for the energy relative to the elements: -0.139 eV/atom. For the energy above the lowest structure with this stoichiometry, the calculation gives 0.34 eV/f.u. The space group is I4/mmm, No. 139. Its density of states at the Fermi level is 3.73 states/eV/cell.

***

3.
## BaIrBr2 (PBE)

Data for an optimized crystal structure of BaIrBr2.

extended XYZ file:
```
4
Lattice="4.6737 0.0000 0.0000 0.0000 4.1823 0.0000 -2.1129 0.0000 5.8434" Properties=species:S:1:pos:R:3 pbc="T T T"
Ba 0.0000 0.0000 0.0000
Ir 1.2804 0.0000 2.9217
Br 0.2646 2.0912 4.1354
Br 2.2961 2.0912 1.7081
```

For the energy above the lowest structure with this stoichiometry, the calculation gives 0.82 eV/f.u. The space group is P2/m, No. 10. Its density of states at the Fermi level is 1.35 states/eV/cell.